Entry 1:
The following is a DFT calculation (PBE) of a geometry-optimized Ba2Bi3Pd5 structure.

a b c (Å): 7.015 9.330 9.330
angles (deg): 73.26 67.92 67.92
Element x y z (fractional)
Ba1 0.872 0.394 0.863
Ba2 0.372 0.863 0.394
Ba3 0.128 0.606 0.137
Ba4 0.628 0.137 0.606
Bi1 0.135 0.254 0.476
Bi2 0.365 0.524 0.746
Bi3 0.250 0.000 0.000
Bi4 0.635 0.476 0.254
Bi5 0.750 0.000 0.000
Bi6 0.865 0.746 0.524
Pd1 0.885 0.973 0.257
Pd2 0.750 0.500 0.500
Pd3 0.115 0.027 0.743
Pd4 0.250 0.500 0.500
Pd5 0.983 0.767 0.767
Pd6 0.385 0.257 0.973
Pd7 0.017 0.233 0.233
Pd8 0.483 0.767 0.767
Pd9 0.517 0.233 0.233
Pd10 0.615 0.743 0.027

* N(E_F): 13.6 states/eV/cell
* final energy: -4.6856 eV per atom
* crystal system: orthorhombic
* SG: Ibam (72)

Entry 2:
The following is a DFT calculation (PBE) of a geometry-optimized BaBi3Pd5 structure.

a b c (Å): 4.447 7.467 13.687
angles (deg): 90.00 90.00 107.32
Element x y z (fractional)
Ba1 0.818 0.635 0.750
Ba2 0.182 0.365 0.250
Bi1 0.373 0.746 0.538
Bi2 0.093 0.187 0.750
Bi3 0.907 0.813 0.250
Bi4 0.373 0.746 0.962
Bi5 0.627 0.254 0.462
Bi6 0.627 0.254 0.038
Pd1 0.461 0.921 0.144
Pd2 0.539 0.079 0.856
Pd3 0.461 0.921 0.356
Pd4 0.000 0.000 0.000
Pd5 0.814 0.629 0.426
Pd6 0.814 0.629 0.074
Pd7 0.539 0.079 0.644
Pd8 0.186 0.371 0.926
Pd9 0.186 0.371 0.574
Pd10 0.000 0.000 0.500

* N(E_F): 7.2 states/eV/cell
* final energy: -4.8246 eV per atom
* crystal system: orthorhombic
* SG: Cmcm (63)

Entry 3:
The following is a DFT calculation (PBE) of a geometry-optimized Ba2Bi5Pd4 structure.

a b c (Å): 6.565 7.583 7.583
angles (deg): 83.51 64.35 64.35
Element x y z (fractional)
Pd1 0.247 0.418 0.088
Pd2 0.753 0.582 0.912
Pd3 0.753 0.912 0.582
Pd4 0.247 0.088 0.418
Bi1 0.256 0.795 0.204
Bi2 0.255 0.205 0.796
Bi3 0.000 0.500 0.500
Bi4 0.745 0.795 0.204
Bi5 0.744 0.205 0.796
Ba1 0.273 0.727 0.727
Ba2 0.727 0.273 0.273

* N(E_F): 6.0 states/eV/cell
* final energy: -4.4490 eV per atom
* crystal system: orthorhombic
* SG: Immm (71)

Entry 4:
The following is a DFT calculation (PBE) of a geometry-optimized BaBi2Pd structure.

a b c (Å): 4.557 5.457 5.452
angles (deg): 108.77 90.00 90.00
Element x y z (fractional)
Pd1 0.500 0.000 0.500
Bi1 0.000 0.813 0.687
Bi2 0.000 0.187 0.313
Ba1 0.500 0.500 0.000

* N(E_F): 0.6 states/eV/cell
* final energy: -4.3303 eV per atom
* crystal system: orthorhombic
* SG: Cmmm (65)

Entry 5:
The following is a DFT calculation (PBE) of a geometry-optimized BaBi2Pd structure.

a b c (Å): 5.513 5.513 5.513
angles (deg): 60.00 60.00 60.00
Element x y z (fractional)
Bi1 0.250 0.250 0.250
Bi2 0.750 0.750 0.750
Pd1 0.000 0.000 0.000
Ba1 0.500 0.500 0.500

* N(E_F): 2.6 states/eV/cell
* final energy: -3.9319 eV per atom
* crystal system: cubic
* SG: Fm-3m (225)

Entry 6:
The following is a DFT calculation (PBE) of a geometry-optimized Ba2Bi5Pd3 structure.

a b c (Å): 4.902 8.020 14.588
angles (deg): 90.00 99.67 90.00
Element x y z (fractional)
Bi1 0.949 0.079 0.898
Bi2 0.123 0.253 0.246
Bi3 0.597 0.891 0.195
Bi4 0.051 0.579 0.102
Bi5 0.705 0.431 0.411
Bi6 0.287 0.522 0.574
Bi7 0.295 0.931 0.589
Bi8 0.713 0.022 0.426
Bi9 0.403 0.391 0.805
Bi10 0.877 0.753 0.754
Ba1 0.828 0.235 0.657
Ba2 0.172 0.735 0.343
Ba3 0.523 0.253 0.045
Ba4 0.477 0.753 0.955
Pd1 0.226 0.222 0.452
Pd2 0.393 0.018 0.785
Pd3 0.774 0.722 0.548
Pd4 0.607 0.518 0.215
Pd5 0.053 0.959 0.107
Pd6 0.947 0.459 0.893

* N(E_F): 9.0 states/eV/cell
* final energy: -4.4039 eV per atom
* crystal system: orthorhombic
* SG: Cmc2_1 (36)

Entry 7:
The following is a DFT calculation (PBE) of a geometry-optimized Ba2Bi2Pd15 structure.

a b c (Å): 7.220 7.220 7.220
angles (deg): 82.67 82.67 82.67
Element x y z (fractional)
Pd1 0.155 0.654 0.654
Pd2 0.500 0.000 0.000
Pd3 0.698 0.302 0.000
Pd4 0.346 0.346 0.845
Pd5 0.302 0.698 0.000
Pd6 0.000 0.000 0.500
Pd7 0.654 0.155 0.654
Pd8 0.698 0.000 0.302
Pd9 0.000 0.302 0.698
Pd10 0.654 0.654 0.155
Pd11 0.000 0.698 0.302
Pd12 0.302 0.000 0.698
Pd13 0.000 0.500 0.000
Pd14 0.346 0.845 0.346
Pd15 0.845 0.346 0.346
Bi1 0.893 0.893 0.893
Bi2 0.107 0.107 0.107
Ba1 0.645 0.645 0.645
Ba2 0.355 0.355 0.355

* N(E_F): 19.9 states/eV/cell
* final energy: -4.9635 eV per atom
* crystal system: trigonal
* SG: R-3m (166)

Entry 8:
The following is a DFT calculation (PBE) of a geometry-optimized BaBiPd2 structure.

a b c (Å): 4.815 4.815 6.213
angles (deg): 67.20 67.20 60.00
Element x y z (fractional)
Pd1 0.804 0.804 0.589
Pd2 0.196 0.196 0.411
Ba1 0.000 0.000 0.000
Bi1 0.500 0.500 0.500

* N(E_F): 3.0 states/eV/cell
* final energy: -4.6215 eV per atom
* crystal system: trigonal
* SG: R-3m (166)

Across the entries above, formation energy from the elements takes the values -540; -432; -447; -611; -213; -521; -253; -574 meV/atom, respectively.